Material: Nb4PdPt12
Method: DFT, PBE-GGA
State: optimized geometry

abc: 7.180 7.180 7.180
angles: 109.47 109.47 109.47
Atoms (fractional coordinates):
Nb  0.000  0.000  0.500
Nb  0.000  0.500  0.000
Nb  0.500  0.000  0.000
Nb  0.500  0.500  0.500
Pd  0.000  0.000  0.000
Pt  0.000  0.298  0.298
Pt  0.000  0.702  0.702
Pt  0.250  0.500  0.750
Pt  0.250  0.750  0.500
Pt  0.298  0.000  0.298
Pt  0.298  0.298  0.000
Pt  0.500  0.250  0.750
Pt  0.500  0.750  0.250
Pt  0.702  0.000  0.702
Pt  0.702  0.702  0.000
Pt  0.750  0.250  0.500
Pt  0.750  0.500  0.250

## Properties
- final energy (eV/cell) = -121.45
- ΔH_f (0 K) (eV per formula unit) = -3.487